Here is an optimized crystal structure of LaSeBr2 from Alexandria. Energies are from GGA-PBE.

a b c (Å): 6.018 4.343 7.627
angles (deg): 90.00 113.08 90.00
Space group P2/m (No. 10)
Unique sites:
La: 0.000 0.000 0.000 (multiplicity 1)
Se: 0.500 0.000 0.000 (multiplicity 1)
Br: 0.143 0.500 0.286 (multiplicity 2)

Output
* volume: 45.85 Å³/atom
* ΔE_f (raw): -1.39 eV/atom
* density of states at the Fermi level: 3.97 states/eV/f.u.
* magnetization: 1.00 μB per cell
* energy above the most stable polymorph in this dataset: 79.1 meV/atom



Here is an optimized crystal structure of PS4Br from Alexandria. Energies are from GGA-PBE.

a b c (Å): 14.752 8.738 7.155
angles (deg): 90.00 112.24 90.00
Space group C2/m (No. 12)
Unique sites:
P: 0.081 0.000 0.414 (multiplicity 4)
S: 0.000 0.174 0.500 (multiplicity 4)
S: 0.070 0.160 0.065 (multiplicity 8)
S: 0.219 0.000 0.659 (multiplicity 4)
Br: 0.185 0.500 0.517 (multiplicity 4)

Output
* volume: 35.57 Å³/atom
* ΔE_f (raw): 0.13 eV/atom
* density of states at the Fermi level: 0.88 states/eV/f.u.
* magnetization: 0.00 μB per cell
* energy above the most stable polymorph in this dataset: 95.9 meV/atom



Here is an optimized crystal structure of Ca2HoNbO6 from Alexandria. Energies are from GGA-PBE.

a b c (Å): 5.631 5.863 9.871
angles (deg): 90.00 124.66 90.00
Space group P2_1/c (No. 14)
Unique sites:
Ca: 0.238 0.054 0.254 (multiplicity 4)
Ho: 0.500 0.000 0.000 (multiplicity 2)
Nb: 0.000 0.000 0.500 (multiplicity 2)
O: 0.115 0.213 0.934 (multiplicity 4)
O: 0.235 0.686 0.945 (multiplicity 4)
O: 0.349 0.048 0.735 (multiplicity 4)

Output
* volume: 13.40 Å³/atom
* ΔE_f (raw): -3.08 eV/atom
* density of states at the Fermi level: 0.00 states/eV/f.u.
* magnetization: 0.00 μB per cell



Here is an optimized crystal structure of SrPaAs2Pt2 from Alexandria. Energies are from GGA-PBE.

a b c (Å): 4.3028 4.3028 8.3512
angles (deg): 90.00 90.00 120.00
Space group P-3m1 (No. 164)
Unique sites:
Sr: 0.0000 0.0000 0.0000 (multiplicity 1)
Pa: 0.0000 0.0000 0.5000 (multiplicity 1)
As: 0.3333 0.6667 0.7536 (multiplicity 2)
Pt: 0.3333 0.6667 0.3033 (multiplicity 2)

Output
* volume: 22.32 Å³/atom
* density of states at the Fermi level: 5.08 states/eV/f.u.
* magnetization: 0.00 μB per cell
* DFT total energy: -6.492 eV per atom